[1]
# GGA-PBE Na3Tm3TeS8, optimized geometry
data_Na3Tm3TeS8
_symmetry_space_group_name_H-M 'R -3 m'
_symmetry_Int_Tables_number 166
_symmetry_space_group_name_Hall '-R 3 2"'
_cell_length_a 7.8430
_cell_length_b 7.8430
_cell_length_c 20.1724
_cell_angle_alpha 90.00
_cell_angle_beta 90.00
_cell_angle_gamma 120.00
loop_
_atom_site_label
_atom_site_type_symbol
_atom_site_fract_x
_atom_site_fract_y
_atom_site_fract_z
Na1 Na 0.0000 0.5000 0.0000
Tm1 Tm 0.0000 0.5000 0.5000
Te1 Te 0.0000 0.0000 0.5000
S1 S 0.0000 0.0000 0.2407
S2 S 0.0045 0.5022 0.2401
# - VASP energy: -226.8 eV per cell
# - Total moment: 0.00 μB/f.u.
# - Crystal system: trigonal
# - Raw formation energy: -1.4720 eV/atom
# - Calculated volume: 1074.62 Å³ per cell

=====

[2]
# GGA-PBE NaTmTe2S6, optimized geometry
data_NaTmTe2S6
_symmetry_space_group_name_H-M 'R 3'
_symmetry_Int_Tables_number 146
_symmetry_space_group_name_Hall 'R 3'
_cell_length_a 6.7516
_cell_length_b 6.7516
_cell_length_c 20.3764
_cell_angle_alpha 90.00
_cell_angle_beta 90.00
_cell_angle_gamma 120.00
loop_
_atom_site_label
_atom_site_type_symbol
_atom_site_fract_x
_atom_site_fract_y
_atom_site_fract_z
Na1 Na 0.0000 0.0000 0.0000
Tm1 Tm 0.0000 0.0000 0.4902
Te1 Te 0.0000 0.0000 0.2759
Te2 Te 0.0000 0.0000 0.7885
S1 S 0.0019 0.6580 0.5634
S2 S 0.0133 0.3883 0.0699
# - VASP energy: -129.5 eV per cell
# - Total moment: 0.00 μB/f.u.
# - Crystal system: trigonal
# - Raw formation energy: -0.6337 eV/atom
# - Calculated volume: 804.43 Å³ per cell

=====

[3]
# GGA-PBE NaUTeS, optimized geometry
data_NaUTeS
_symmetry_space_group_name_H-M 'R 3 m'
_symmetry_Int_Tables_number 160
_symmetry_space_group_name_Hall 'R 3 -2"'
_cell_length_a 4.1305
_cell_length_b 4.1305
_cell_length_c 21.9951
_cell_angle_alpha 90.00
_cell_angle_beta 90.00
_cell_angle_gamma 120.00
loop_
_atom_site_label
_atom_site_type_symbol
_atom_site_fract_x
_atom_site_fract_y
_atom_site_fract_z
Na1 Na 0.0000 0.0000 0.0000
U1 U 0.0000 0.0000 0.4807
Te1 Te 0.0000 0.0000 0.2369
S1 S 0.0000 0.0000 0.7477
# - VASP energy: -72.1 eV per cell
# - Total moment: 3.00 μB/f.u.
# - Crystal system: trigonal
# - Raw formation energy: -1.0379 eV/atom
# - Calculated volume: 324.99 Å³ per cell

=====

[4]
# GGA-PBE NaUTe2S6, optimized geometry
data_NaUTe2S6
_symmetry_space_group_name_H-M 'C 1 2/c 1'
_symmetry_Int_Tables_number 15
_cell_length_a 15.6878
_cell_length_b 9.5081
_cell_length_c 7.2475
_cell_angle_alpha 90.00
_cell_angle_beta 113.93
_cell_angle_gamma 90.00
loop_
_symmetry_equiv_pos_as_xyz
'x,y,z'
'-x,-y,-z'
'-x,y,-z+1/2'
'x,-y,z+1/2'
'x+1/2,y+1/2,z'
'-x+1/2,-y+1/2,-z'
'-x+1/2,y+1/2,-z+1/2'
'x+1/2,-y+1/2,z+1/2'
loop_
_atom_site_label
_atom_site_type_symbol
_atom_site_fract_x
_atom_site_fract_y
_atom_site_fract_z
Na1 Na 0.0000 0.1450 0.2500
U1 U 0.0000 0.3152 0.7500
Te1 Te 0.2347 0.4693 0.7665
S1 S 0.0770 0.4315 0.1615
S2 S 0.0823 0.1201 0.9845
S3 S 0.1506 0.2457 0.6554
# - VASP energy: -193.3 eV per cell
# - Total moment: 0.00 μB/f.u.
# - Crystal system: monoclinic
# - Raw formation energy: -0.4681 eV/atom
# - Calculated volume: 988.11 Å³ per cell

=====

- Which of these has the highest calculated volume?
  Na3Tm3TeS8